DFT (GGA+U) results for a geometry-optimized Ga2FeP3O12 structure.

The calculation puts the final energy at -0.5085 Ry per atom. For the volume, the calculation gives 14.0 A^3/atom.

The space group is C2 (No. 5) and the conventional cell measures 8.858, 5.001 and 11.339 Å, with angles of 90.00, 90.65 and 90.00 degrees. Symmetry generates all atoms from Ga at (0.233, 0.000, 0.163), Fe at (0.000, 0.685, 0.500), P at (0.000, 0.692, 0.000), P at (0.231, 0.000, 0.672), O at (0.054, 0.871, 0.104), O at (0.079, 0.891, 0.626), O at (0.129, 0.507, 0.957), O at (0.154, 0.484, 0.430), O at (0.207, 0.294, 0.710) and O at (0.208, 0.339, 0.221).